Record 1
Sc4Co4Ge7: PBEsol geometry, meta-GGA SCAN.

## Properties
raw total energy: -17.952 eV/atom
SG: I4/mmm
total magnetization: 0.000 μB/atom

Cell: 9.603 9.603 9.603 Å, 94.12 94.12 148.89°
Atoms (fractional coordinates):
Sc (0.000, 0.196, 0.196)
Sc (0.000, 0.804, 0.804)
Sc (0.196, 0.000, 0.196)
Sc (0.360, 0.360, 0.719)
Sc (0.360, 0.640, 0.000)
Sc (0.640, 0.360, 0.000)
Sc (0.640, 0.640, 0.281)
Sc (0.804, 0.000, 0.804)
Co (0.102, 0.602, 0.204)
Co (0.102, 0.898, 0.500)
Co (0.398, 0.602, 0.500)
Co (0.398, 0.898, 0.796)
Co (0.602, 0.102, 0.204)
Co (0.602, 0.398, 0.500)
Co (0.898, 0.102, 0.500)
Co (0.898, 0.398, 0.796)
Ge (0.000, 0.406, 0.406)
Ge (0.000, 0.594, 0.594)
Ge (0.207, 0.207, 0.414)
Ge (0.207, 0.793, 0.000)
Ge (0.209, 0.500, 0.709)
Ge (0.250, 0.250, 0.000)
Ge (0.406, 0.000, 0.406)
Ge (0.500, 0.209, 0.709)
Ge (0.500, 0.791, 0.291)
Ge (0.594, 0.000, 0.594)
Ge (0.750, 0.750, 0.000)
Ge (0.791, 0.500, 0.291)
Ge (0.793, 0.207, 0.000)
Ge (0.793, 0.793, 0.586)



Record 2
CaMo2Pt: PBEsol geometry, meta-GGA SCAN.

## Properties
relative energy among the computed polymorphs: 0.00 eV per formula unit
raw total energy: -37.183 eV/atom
SG: Imm2
total magnetization: 0.000 μB/atom

Cell: 5.319 5.319 5.319 Å, 144.34 125.70 66.67°
Atoms (fractional coordinates):
Ca (0.000, 0.000, 0.000)
Mo (0.278, 0.778, 0.500)
Mo (0.478, 0.478, 0.000)
Pt (0.729, 0.229, 0.500)



Record 3
CaTeRuI2: PBEsol geometry, meta-GGA SCAN.

## Properties
raw total energy: -30.643 eV/atom
SG: P4/mmm
total magnetization: 0.804 μB/atom
uncorrected formation energy: 402 meV per atom

Cell: 5.729 5.729 5.924 Å, 90.00 90.00 90.00°
Atoms (fractional coordinates):
Ca (0.000, 0.000, 0.000)
Te (0.000, 0.000, 0.500)
Ru (0.500, 0.500, 0.500)
I (0.000, 0.500, 0.000)
I (0.500, 0.000, 0.000)



Record 4
Tl2Ge2O7: PBEsol geometry, meta-GGA SCAN.

## Properties
raw total energy: -21.907 eV/atom
SG: Fd-3m
total magnetization: 0.000 μB/atom
uncorrected formation energy: -1315 meV per atom

Cell: 7.029 7.029 7.029 Å, 60.00 60.00 60.00°
Atoms (fractional coordinates):
Tl (0.000, 0.000, 0.000)
Tl (0.000, 0.000, 0.500)
Tl (0.000, 0.500, 0.000)
Tl (0.500, 0.000, 0.000)
Ge (0.000, 0.500, 0.500)
Ge (0.500, 0.000, 0.500)
Ge (0.500, 0.500, 0.000)
Ge (0.500, 0.500, 0.500)
O (0.125, 0.125, 0.125)
O (0.175, 0.175, 0.575)
O (0.175, 0.575, 0.175)
O (0.175, 0.575, 0.575)
O (0.425, 0.425, 0.825)
O (0.425, 0.825, 0.425)
O (0.425, 0.825, 0.825)
O (0.575, 0.175, 0.175)
O (0.575, 0.175, 0.575)
O (0.575, 0.575, 0.175)
O (0.825, 0.425, 0.425)
O (0.825, 0.425, 0.825)
O (0.825, 0.825, 0.425)
O (0.875, 0.875, 0.875)



Record 5
CsCdOs3: PBEsol geometry, meta-GGA SCAN.

## Properties
raw total energy: -53.692 eV/atom
SG: Pm-3m
total magnetization: 1.335 μB/atom

Cell: 5.029 5.029 5.029 Å, 90.00 90.00 90.00°
Atoms (fractional coordinates):
Cs (0.000, 0.000, 0.000)
Cd (0.500, 0.500, 0.500)
Os (0.000, 0.500, 0.500)
Os (0.500, 0.000, 0.500)
Os (0.500, 0.500, 0.000)



Record 6
LaMn2Al: PBEsol geometry, meta-GGA SCAN.

## Properties
raw total energy: -21.709 eV/atom
SG: Cm
total magnetization: 1.473 μB/atom

Cell: 5.084 5.084 4.916 Å, 105.04 105.04 34.05°
Atoms (fractional coordinates):
La (0.000, 0.000, 0.000)
Mn (0.213, 0.213, 0.749)
Mn (0.527, 0.527, 0.494)
Al (0.785, 0.785, 0.370)



Record 7
Sc2NbCo: PBEsol geometry, meta-GGA SCAN.

## Properties
relative energy among the computed polymorphs: 0.00 eV per formula unit
raw total energy: -19.583 eV/atom
SG: Fm-3m
total magnetization: 0.719 μB/atom

Cell: 4.609 4.609 4.609 Å, 60.00 60.00 60.00°
Atoms (fractional coordinates):
Sc (0.250, 0.250, 0.250)
Sc (0.750, 0.750, 0.750)
Nb (0.000, 0.000, 0.000)
Co (0.500, 0.500, 0.500)



Record 8
YMnSe2: PBEsol geometry, meta-GGA SCAN.

## Properties
raw total energy: -22.529 eV/atom
SG: R-3m
total magnetization: 0.000 μB/atom
uncorrected formation energy: -965 meV per atom

Cell: 5.960 5.960 5.960 Å, 37.94 37.94 37.94°
Atoms (fractional coordinates):
Y (0.000, 0.000, 0.000)
Mn (0.500, 0.500, 0.500)
Se (0.231, 0.231, 0.231)
Se (0.769, 0.769, 0.769)



Record 9
BeZnAg2: PBEsol geometry, meta-GGA SCAN.

## Properties
relative energy among the computed polymorphs: 0.06 eV per formula unit
raw total energy: -20.085 eV/atom
SG: Pm
total magnetization: 0.000 μB/atom

Cell: 2.811 4.031 5.088 Å, 90.00 106.01 90.00°
Atoms (fractional coordinates):
Be (0.000, 0.000, 0.000)
Zn (0.135, 0.500, 0.273)
Ag (0.406, 0.500, 0.815)
Ag (0.740, 0.000, 0.483)



Record 10
V2P: PBEsol geometry, meta-GGA SCAN.

## Properties
raw total energy: -15.986 eV/atom
SG: Pnma
total magnetization: 0.000 μB/atom

Cell: 6.120 3.226 7.485 Å, 90.00 90.00 90.00°
Atoms (fractional coordinates):
V (0.041, 0.250, 0.167)
V (0.139, 0.250, 0.559)
V (0.361, 0.750, 0.059)
V (0.459, 0.750, 0.667)
V (0.541, 0.250, 0.333)
V (0.639, 0.250, 0.941)
V (0.861, 0.750, 0.441)
V (0.959, 0.750, 0.833)
P (0.248, 0.750, 0.358)
P (0.252, 0.250, 0.858)
P (0.748, 0.750, 0.142)
P (0.752, 0.250, 0.642)



Record 11
Na2InHg: PBEsol geometry, meta-GGA SCAN.

## Properties
raw total energy: -27.689 eV/atom
SG: Fm-3m
total magnetization: 0.000 μB/atom

Cell: 5.177 5.177 5.177 Å, 60.00 60.00 60.00°
Atoms (fractional coordinates):
Na (0.250, 0.250, 0.250)
Na (0.750, 0.750, 0.750)
In (0.000, 0.000, 0.000)
Hg (0.500, 0.500, 0.500)



Record 12
YAg2Os2: PBEsol geometry, meta-GGA SCAN.

## Properties
raw total energy: -46.521 eV/atom
SG: I4/mmm
total magnetization: 0.192 μB/atom

Cell: 6.508 6.508 6.508 Å, 143.86 143.86 52.04°
Atoms (fractional coordinates):
Y (0.000, 0.000, 0.000)
Ag (0.250, 0.750, 0.500)
Ag (0.750, 0.250, 0.500)
Os (0.404, 0.404, 0.000)
Os (0.596, 0.596, 0.000)



Record 13
Ba3NaIr: PBEsol geometry, meta-GGA SCAN.

## Properties
relative energy among the computed polymorphs: 0.00 eV per formula unit
raw total energy: -38.925 eV/atom
SG: Pm-3m
total magnetization: 0.018 μB/atom

Cell: 6.111 6.111 6.111 Å, 90.00 90.00 90.00°
Atoms (fractional coordinates):
Ba (0.000, 0.000, 0.500)
Ba (0.000, 0.500, 0.000)
Ba (0.500, 0.000, 0.000)
Na (0.500, 0.500, 0.500)
Ir (0.000, 0.000, 0.000)



Record 14
Ta2NiRh: PBEsol geometry, meta-GGA SCAN.

## Properties
raw total energy: -46.127 eV/atom
SG: P2/m
total magnetization: 0.000 μB/atom

Cell: 2.806 3.785 5.517 Å, 90.00 90.08 90.00°
Atoms (fractional coordinates):
Ta (0.000, 0.000, 0.245)
Ta (0.000, 0.000, 0.755)
Ni (0.500, 0.500, 0.000)
Rh (0.500, 0.500, 0.500)



Record 15
BaCd3: PBEsol geometry, meta-GGA SCAN.

## Properties
raw total energy: -32.774 eV/atom
SG: P-6m2
total magnetization: 0.000 μB/atom

Cell: 4.444 4.444 7.701 Å, 90.00 90.00 120.00°
Atoms (fractional coordinates):
Ba (0.000, 0.000, 0.000)
Cd (0.000, 0.000, 0.500)
Cd (0.333, 0.667, 0.308)
Cd (0.333, 0.667, 0.692)



Record 16
Co3BiIr: PBEsol geometry, meta-GGA SCAN.

## Properties
raw total energy: -39.241 eV/atom
SG: Pm-3m
total magnetization: 1.433 μB/atom

Cell: 4.517 4.517 4.517 Å, 90.00 90.00 90.00°
Atoms (fractional coordinates):
Co (0.000, 0.000, 0.500)
Co (0.000, 0.500, 0.000)
Co (0.500, 0.000, 0.000)
Bi (0.500, 0.500, 0.500)
Ir (0.000, 0.000, 0.000)



Record 17
ZrCoP2: PBEsol geometry, meta-GGA SCAN.

## Properties
relative energy among the computed polymorphs: 0.00 eV per formula unit
raw total energy: -17.727 eV/atom
SG: P4mm
total magnetization: 0.000 μB/atom

Cell: 3.270 3.270 5.317 Å, 90.00 90.00 90.00°
Atoms (fractional coordinates):
Zr (0.000, 0.000, 0.000)
Co (0.500, 0.500, 0.371)
P (0.000, 0.000, 0.493)
P (0.500, 0.500, 0.790)



Record 18
MoAsOs2: PBEsol geometry, meta-GGA SCAN.

## Properties
raw total energy: -49.475 eV/atom
SG: R-3m
total magnetization: 0.000 μB/atom

Cell: 8.605 8.605 8.605 Å, 18.86 18.86 18.86°
Atoms (fractional coordinates):
Mo (0.000, 0.000, 0.000)
As (0.500, 0.500, 0.500)
Os (0.248, 0.248, 0.248)
Os (0.752, 0.752, 0.752)



Record 19
CuSi2Ni: PBEsol geometry, meta-GGA SCAN.

## Properties
raw total energy: -12.592 eV/atom
SG: F-43m
total magnetization: 0.000 μB/atom
uncorrected formation energy: 259 meV per atom

Cell: 4.089 4.089 4.089 Å, 60.00 60.00 60.00°
Atoms (fractional coordinates):
Cu (0.000, 0.000, 0.000)
Si (0.500, 0.500, 0.500)
Si (0.750, 0.750, 0.750)
Ni (0.250, 0.250, 0.250)



Record 20
Mn2TcRu: PBEsol geometry, meta-GGA SCAN.

## Properties
raw total energy: -26.432 eV/atom
SG: P4mm
total magnetization: 0.000 μB/atom

Cell: 2.869 2.869 5.902 Å, 90.00 90.00 90.00°
Atoms (fractional coordinates):
Mn (0.000, 0.000, 0.000)
Mn (0.500, 0.500, 0.154)
Tc (0.500, 0.500, 0.717)
Ru (0.000, 0.000, 0.438)